*1*
## TcPIrO2 (PBE)

Data for a relaxed TcPIrO2 crystal.

Cell: 3.7107 3.7107 5.5990 Å, 90.00 90.00 90.00°
Last column: nearest neighbours and their distance in Å.
Fractional coordinates of all 5 atoms:
Tc 0.5000 0.5000 0.5000  4 P 2.62
O 0.0000 0.5000 0.0000  2 Ir 1.86
O 0.5000 0.0000 0.0000  2 Ir 1.86
P 0.0000 0.0000 0.5000  4 Tc 2.62, 2 Ir 2.80
Ir 0.0000 0.0000 0.0000  4 O 1.86

Output
Its space-group type is P4/mmm (123). The volume is 77 Å³ per cell. As for the calculated density: 7.61 g/cm³.

=====

*2*
## TcPIrO2 (PBE)

Data for a relaxed TcPIrO2 crystal.

Cell: 3.6669 3.6669 5.4742 Å, 90.00 90.00 90.00°
Last column: nearest neighbours and their distance in Å.
Fractional coordinates of all 5 atoms:
O 0.0000 0.5000 0.0000  2 Tc 1.83
O 0.5000 0.0000 0.0000  2 Tc 1.83
Tc 0.0000 0.0000 0.0000  4 O 1.83
Ir 0.5000 0.5000 0.5000  4 P 2.59
P 0.0000 0.0000 0.5000  4 Ir 2.59, 2 Tc 2.74

Output
Its space-group type is P4/mmm (123). The volume is 74 Å³ per cell. As for the calculated density: 7.97 g/cm³.

=====

*2* takes first place; second place is 392 meV/atom up.

=====

*1*
## TlP2IrO (PBE)

Data for a relaxed TlP2IrO crystal.

Cell: 4.9601 4.9601 3.7347 Å, 90.00 90.00 90.00°
Last column: nearest neighbours and their distance in Å.
Fractional coordinates of all 5 atoms:
O 0.0000 0.0000 0.5000  2 Ir 1.87
P 0.0000 0.5000 0.0000  2 Ir 2.48
P 0.5000 0.0000 0.0000  2 Ir 2.48
Ir 0.0000 0.0000 0.0000  2 O 1.87
Tl 0.5000 0.5000 0.5000  8 P 3.10

Output
Its space-group type is P4/mmm (123). The volume is 92 Å³ per cell. As for the calculated density: 8.58 g/cm³.

=====

*2*
## TlP2IrO (PBE)

Data for a relaxed TlP2IrO crystal.

Cell: 5.0748 5.0748 3.9046 Å, 90.00 90.00 90.00°
Last column: nearest neighbours and their distance in Å.
Fractional coordinates of all 5 atoms:
P 0.5000 0.0000 0.0000  2 Tl 2.54
P 0.0000 0.5000 0.0000  2 Tl 2.54
Ir 0.5000 0.5000 0.5000  8 P 3.20
O 0.0000 0.0000 0.5000  2 Tl 1.95
Tl 0.0000 0.0000 0.0000  2 O 1.95

Output
Its space-group type is P4/mmm (123). The volume is 101 Å³ per cell. As for the calculated density: 7.84 g/cm³.

=====

*1* takes first place; second place is 1414 meV/atom up.